# YHgAs2Se

A crystal of YHgAs2Se relaxed with PBEsol (SCAN, Alexandria via LeMat-Bulk).

crystal system: tetragonal
SG: P4/mmm (123)
calculated total energy: -31.105 eV/atom
magnetic moment: 0.000 μB/atom
formation energy without anion corrections: 0.188 eV/atom

extended XYZ file:
```
5
Lattice="5.035 0.000 0.000 0.000 5.035 0.000 0.000 0.000 5.137" Properties=species:S:1:pos:R:3 pbc="T T T"
Y 2.518 2.518 2.569
As 0.000 2.518 0.000
As 2.518 0.000 0.000
Hg 0.000 0.000 0.000
Se 0.000 0.000 2.569
```